An optimized crystal structure of LiCu2Pt. Source: the Alexandria database, functional PBE-GGA.

Computed properties:
The calculation puts the total energy at -16.67 eV per cell. The energy of formation comes out at -0.131 eV per atom. Its space-group type is P4/mmm (123). The energy above the most stable polymorph in this dataset is 0.146 eV per atom.

```
LiCu2Pt
1.0
-2.472 1.567 -0.433
-1.579 -2.127 1.316
0.773 2.665 5.238
Cu Li Pt
2 1 1
direct
0.000 0.000 0.019
0.000 0.000 0.481
0.500 0.500 0.250
0.500 0.500 0.750
```


An optimized crystal structure of Ca3Y5Se8. Source: the Alexandria database, functional PBE-GGA.

Computed properties:
The calculation puts the total energy at -95.84 eV per cell. The formation energy without anion corrections is -1.8521 eV/atom. Its space-group type is R-3m (166).

```
Ca3Y5Se8
1.0
-1.135 -4.311 6.906
2.673 -7.758 0.488
6.469 -1.822 4.818
Se Y Ca
8 5 3
direct
0.749 0.250 0.751
0.250 0.250 0.751
0.750 0.750 0.249
0.750 0.251 0.249
0.251 0.251 0.247
0.749 0.749 0.753
0.250 0.749 0.751
0.251 0.750 0.249
0.500 0.500 0.000
0.000 0.000 0.000
0.500 0.000 0.000
0.000 0.500 0.000
0.500 0.500 0.500
0.000 0.000 0.500
0.000 0.500 0.500
0.500 0.000 0.500
```


An optimized crystal structure of Rb2O. Source: the Alexandria database, functional PBE-GGA.

Computed properties:
The calculation puts the total energy at -9.61 eV per cell. The formation energy without anion corrections is -0.9049 eV/atom. Its space-group type is Fm-3m (225).

```
Rb2O
1.0
-3.285 -0.810 -3.490
1.403 -0.251 -4.647
-0.067 -4.264 -2.332
Rb O
2 1
direct
0.750 0.750 0.750
0.250 0.250 0.250
0.000 0.000 0.000
```


An optimized crystal structure of NbSn3Se. Source: the Alexandria database, functional PBE-GGA.

Computed properties:
The calculation puts the total energy at -20.22 eV per cell. The formation energy without anion corrections is 1.0682 eV/atom. Its space-group type is Pm-3m (221). The energy above the most stable polymorph in this dataset is 0.606 eV per atom.

```
NbSn3Se
1.0
5.268 0.000 0.000
0.000 5.268 0.000
0.000 0.000 5.268
Sn Nb Se
3 1 1
direct
0.000 0.500 0.000
0.500 0.000 0.000
0.000 0.000 0.500
0.500 0.500 0.500
0.000 0.000 0.000
```


An optimized crystal structure of TmPuNp2Se4. Source: the Alexandria database, functional PBE-GGA.

Computed properties:
The calculation puts the total energy at -69.20 eV per cell. The formation energy without anion corrections is -1.3217 eV/atom. Its space-group type is P2/m (10).

```
TmPuNp2Se4
1.0
4.057 0.000 0.000
0.000 7.130 0.155
0.000 -2.456 6.610
Tm Np Se Pu
1 2 4 1
direct
0.000 0.000 0.000
0.000 0.500 0.500
0.500 0.000 0.500
0.500 0.756 0.756
0.000 0.754 0.248
0.000 0.246 0.752
0.500 0.244 0.244
0.500 0.500 0.000
```


An optimized crystal structure of CdFeAg2N. Source: the Alexandria database, functional PBE-GGA.

Computed properties:
The calculation puts the total energy at -21.60 eV per cell. The formation energy without anion corrections is 0.3621 eV/atom. Its space-group type is P4/mmm (123).

```
CdFeAg2N
1.0
-4.141 -1.948 -1.304
-0.944 -0.253 3.375
-1.965 4.328 -0.225
Ag Fe N Cd
2 1 1 1
direct
0.500 0.000 0.000
0.000 0.000 0.500
0.000 0.500 0.000
0.000 0.000 0.000
0.500 0.500 0.500
```


An optimized crystal structure of Rb2Hg2Cl5. Source: the Alexandria database, functional PBE-GGA.

Computed properties:
The calculation puts the total energy at -21.97 eV per cell. The formation energy without anion corrections is -1.1331 eV/atom. Its space-group type is Pm (6). The energy above the most stable polymorph in this dataset is 0.000 eV per atom.

```
Rb2Hg2Cl5
1.0
-0.400 -3.952 3.649
4.946 -1.734 -1.275
4.021 6.202 7.158
Hg Rb Cl
2 2 5
direct
0.536 0.535 0.770
0.535 0.535 0.230
0.033 0.033 0.000
0.072 0.075 0.500
0.532 0.034 0.793
0.034 0.532 0.207
0.532 0.034 0.207
0.034 0.532 0.793
0.527 0.526 0.500
```


An optimized crystal structure of InGa12Sn6. Source: the Alexandria database, functional PBE-GGA.

Computed properties:
The calculation puts the total energy at -61.34 eV per cell. The energy of formation comes out at 0.092 eV per atom. Its space-group type is R-3m (166).

```
InGa12Sn6
1.0
8.183 -0.212 -0.298
-2.233 7.875 -0.298
-2.233 -2.877 7.337
Sn Ga In
6 12 1
direct
0.695 0.273 0.695
0.695 0.695 0.273
0.273 0.695 0.695
0.305 0.727 0.305
0.727 0.305 0.305
0.305 0.305 0.727
0.893 0.500 0.107
0.654 0.654 0.877
0.877 0.654 0.654
0.123 0.346 0.346
0.346 0.346 0.123
0.893 0.107 0.500
0.500 0.893 0.107
0.107 0.893 0.500
0.346 0.123 0.346
0.654 0.877 0.654
0.107 0.500 0.893
0.500 0.107 0.893
0.000 0.000 0.000
```


An optimized crystal structure of TbSm2Ho2Mg. Source: the Alexandria database, functional PBE-GGA.

Computed properties:
The calculation puts the total energy at -44.15 eV per cell. The energy of formation comes out at 0.458 eV per atom. Its space-group type is Pnnm (58).

```
TbSm2Ho2Mg
1.0
3.614 0.000 0.000
0.000 11.871 0.000
0.000 0.000 10.231
Sm Ho Tb Mg
4 4 2 2
direct
0.500 0.777 0.399
0.000 0.723 0.899
0.500 0.223 0.601
0.000 0.277 0.101
0.000 0.570 0.252
0.500 0.070 0.248
0.500 0.930 0.752
0.000 0.430 0.748
0.000 0.000 0.500
0.500 0.500 0.000
0.000 0.000 0.000
0.500 0.500 0.500
```


An optimized crystal structure of Th2PdRh. Source: the Alexandria database, functional PBE-GGA.

Computed properties:
The calculation puts the total energy at -30.47 eV per cell. The energy of formation comes out at -0.770 eV per atom. Its space-group type is P-3m1 (164).

```
Th2PdRh
1.0
4.488 0.000 0.000
2.244 3.887 0.000
0.000 0.000 5.818
Pd Th Rh
1 2 1
direct
0.000 0.000 0.500
0.333 0.333 0.761
0.667 0.667 0.239
0.000 0.000 0.000
```


An optimized crystal structure of NaAg2As. Source: the Alexandria database, functional PBE-GGA.

Computed properties:
The calculation puts the total energy at -23.09 eV per cell. The energy of formation comes out at 0.032 eV per atom. Its space-group type is I-42d (122). The energy above the most stable polymorph in this dataset is 0.135 eV per atom.

```
NaAg2As
1.0
-4.238 -2.082 -2.050
2.922 -2.982 -3.012
-0.608 -8.485 3.411
As Ag Na
2 4 2
direct
0.750 0.250 0.500
0.000 0.000 0.000
0.375 0.230 0.750
0.980 0.625 0.250
0.875 0.020 0.750
0.770 0.125 0.250
0.250 0.750 0.500
0.500 0.500 0.000
```


An optimized crystal structure of Be2TcSnF. Source: the Alexandria database, functional PBE-GGA.

Computed properties:
The calculation puts the total energy at -19.41 eV per cell. The formation energy without anion corrections is 0.8574 eV/atom. Its space-group type is P4/mmm (123).

```
Be2TcSnF
1.0
4.587 0.000 0.000
0.000 4.261 0.000
0.000 0.000 4.587
F Be Tc Sn
1 2 1 1
direct
0.000 0.500 0.000
0.000 0.000 0.500
0.500 0.000 0.000
0.500 0.500 0.500
0.000 0.000 0.000
```